Entry 1:
Co2GeW after structural relaxation. Source: Alexandria, functional PBE-GGA.

## Properties
The value obtained for the spin magnetization is 1.133 μB/f.u. The calculation puts the total energy at -7.966 eV per atom. The formation energy comes out at -2 kJ/mol of atoms. As for the crystal system: tetragonal.

Unit cell a=2.768 b=2.768 c=6.576 alpha=90.00 beta=90.00 gamma=90.00
Space group P4/mmm (No. 123)
Asymmetric unit:
Co 0.000 0.000 0.224 (multiplicity 2)
Ge 0.500 0.500 0.000 (multiplicity 1)
W 0.500 0.500 0.500 (multiplicity 1)


Entry 2:
Tb5Pm6Sc after structural relaxation. Source: Alexandria, functional PBE-GGA.

## Properties
The value obtained for the spin magnetization is 0.000 μB/f.u. The calculation puts the total energy at -4.809 eV per atom. The formation energy comes out at 2 kJ/mol of atoms. As for the crystal system: monoclinic.

Unit cell a=6.220 b=10.768 c=11.793 alpha=90.00 beta=100.09 gamma=90.00
Space group C2/m (No. 12)
Asymmetric unit:
Tb 0.000 0.000 0.000 (multiplicity 2)
Tb 0.000 0.167 0.500 (multiplicity 4)
Tb 0.000 0.334 0.000 (multiplicity 4)
Pm 0.247 0.335 0.747 (multiplicity 8)
Pm 0.249 0.500 0.252 (multiplicity 4)
Sc 0.000 0.500 0.500 (multiplicity 2)


Entry 3:
NaScOs2O8 after structural relaxation. Source: Alexandria, functional PBE-GGA.

## Properties
The value obtained for the spin magnetization is 1.274 μB/f.u. The calculation puts the total energy at -7.268 eV per atom. As for the formation energy (no corrections): -1.454 eV per atom. As for the crystal system: tetragonal.

Unit cell a=5.095 b=5.095 c=11.397 alpha=90.00 beta=90.00 gamma=90.00
Space group I-4 (No. 82)
Asymmetric unit:
Na 0.000 0.000 0.000 (multiplicity 2)
Sc 0.000 0.500 0.750 (multiplicity 2)
Os 0.000 0.000 0.500 (multiplicity 2)
Os 0.000 0.500 0.250 (multiplicity 2)
O 0.160 0.248 0.588 (multiplicity 8)
O 0.187 0.758 0.177 (multiplicity 8)


Entry 4:
La2CdGePd6 after structural relaxation. Source: Alexandria, functional PBE-GGA.

## Properties
The value obtained for the spin magnetization is 0.000 μB/f.u. The calculation puts the total energy at -5.289 eV per atom. The formation energy comes out at -61 kJ/mol of atoms. As for the crystal system: monoclinic.

Unit cell a=11.711 b=5.601 c=8.049 alpha=90.00 beta=129.80 gamma=90.00
Space group C2/m (No. 12)
Asymmetric unit:
La 0.003 0.000 0.253 (multiplicity 4)
Cd 0.000 0.500 0.500 (multiplicity 2)
Ge 0.000 0.500 0.000 (multiplicity 2)
Pd 0.182 0.500 0.933 (multiplicity 4)
Pd 0.236 0.252 0.285 (multiplicity 8)


Entry 5:
Pm2TmN3 after structural relaxation. Source: Alexandria, functional PBE-GGA.

## Properties
The value obtained for the spin magnetization is 0.000 μB/f.u. The calculation puts the total energy at -8.020 eV per atom. As for the formation energy (no corrections): -1.529 eV per atom. As for the crystal system: tetragonal.

Unit cell a=3.553 b=3.553 c=15.062 alpha=90.00 beta=90.00 gamma=90.00
Space group I4/mmm (No. 139)
Asymmetric unit:
Pm 0.000 0.000 0.163 (multiplicity 4)
Tm 0.000 0.000 0.500 (multiplicity 2)
N 0.000 0.000 0.000 (multiplicity 2)
N 0.000 0.000 0.340 (multiplicity 4)


Entry 6:
DyErTeAs after structural relaxation. Source: Alexandria, functional PBE-GGA.

## Properties
The value obtained for the spin magnetization is 0.000 μB/f.u. The calculation puts the total energy at -5.677 eV per atom. As for the formation energy (no corrections): -1.438 eV per atom. As for the crystal system: trigonal.

Unit cell a=4.1233 b=4.1233 c=21.8360 alpha=90.00 beta=90.00 gamma=120.00
Space group R3m (No. 160, hexagonal axes)
Asymmetric unit:
Dy 0.0000 0.0000 0.0000 (multiplicity 3)
Er 0.0000 0.0000 0.8103 (multiplicity 3)
Te 0.0000 0.0000 0.5717 (multiplicity 3)
As 0.0000 0.0000 0.4039 (multiplicity 3)